(1)
Entry from the Alexandria database: SrMg4Cd6 after structural relaxation (PBE).

a = 8.0347 Å, b = 8.0347 Å, c = 4.8620 Å
α = 90.00°, β = 90.00°, γ = 120.00°
Closest atoms and distances in Å follow each position.
Atoms (fractional coordinates):
Sr1 0.0000 0.0000 0.0000  9 Cd 3.53-3.79, 6 Mg 3.77
Mg1 0.1277 0.7221 0.5000  7 Cd 2.86-3.12
Mg2 0.2779 0.4056 0.5000  7 Cd 2.86-3.12
Mg3 0.5944 0.8723 0.5000  7 Cd 2.86-3.12
Mg4 0.6667 0.3333 0.0000  9 Cd 3.02-3.07
Cd1 0.0940 0.4787 0.0000  4 Cd 2.99-3.04, 5 Mg 3.02-3.05
Cd2 0.3847 0.9060 0.0000  4 Cd 2.99-3.04, 5 Mg 3.02-3.05
Cd3 0.4107 0.1353 0.5000  5 Mg 2.86-3.12, 2 Cd 2.99
Cd4 0.5213 0.6153 0.0000  4 Cd 2.99-3.04, 5 Mg 3.02-3.05
Cd5 0.7246 0.5893 0.5000  5 Mg 2.86-3.12, 2 Cd 2.99
Cd6 0.8647 0.2754 0.5000  5 Mg 2.86-3.12, 2 Cd 2.99

Results
Electronic total energy ... -1.380 eV/atom
Formation enthalpy at 0 K ... -0.15 eV per atom
Offset from the most stable computed form ... 0 meV per atom
Crystal system ... hexagonal
Space-group type ... P-6, No. 174

(2)
Entry from the Alexandria database: CeHoC after structural relaxation (PBE).

a = 3.5350 Å, b = 3.5350 Å, c = 6.3797 Å
α = 90.00°, β = 90.00°, γ = 120.00°
Closest atoms and distances in Å follow each position.
Atoms (fractional coordinates):
Ce1 0.0000 0.0000 0.0000  3 C 2.48
Ho1 0.3333 0.6667 0.5653  3 C 2.46
C1 0.6667 0.3333 0.7805  3 Ho 2.46, 3 Ce 2.48

Results
Electronic total energy ... -6.775 eV/atom
Formation enthalpy at 0 K ... -0.20 eV per atom
Offset from the most stable computed form ... 16 meV per atom
Crystal system ... trigonal
Space-group type ... P3m1, No. 156